# CsSnSb2 (PBE-GGA, optimized geometry)
# calculated density = 4.78 g cm⁻³
data_CsSnSb2
_chemical_formula_sum 'Cs4 Sn4 Sb8'
_space_group_name_H-M_alt 'P n a 21'
_space_group_IT_number 33
_space_group_name_Hall 'P 2c -2n'
_cell_length_a 7.808
_cell_length_b 13.606
_cell_length_c 6.482
_cell_angle_alpha 90.00
_cell_angle_beta 90.00
_cell_angle_gamma 90.00
loop_
_atom_site_label
_atom_site_type_symbol
_atom_site_fract_x
_atom_site_fract_y
_atom_site_fract_z
Cs1 Cs 0.120 0.138 0.000
Sn1 Sn 0.061 0.635 0.018
Sb1 Sb 0.124 0.414 0.139
Sb2 Sb 0.191 0.850 0.997


# Cs3SnSb (PBE-GGA, optimized geometry)
# calculated density = 4.25 g cm⁻³
# offset from the most stable computed form = 0 meV/atom
data_Cs3SnSb
_chemical_formula_sum 'Cs12 Sn4 Sb4'
_space_group_name_H-M_alt 'P 1 21/c 1'
_space_group_IT_number 14
_space_group_name_Hall '-P 2ybc'
_cell_length_a 10.960
_cell_length_b 7.521
_cell_length_c 13.761
_cell_angle_alpha 90.00
_cell_angle_beta 118.22
_cell_angle_gamma 90.00
loop_
_atom_site_label
_atom_site_type_symbol
_atom_site_fract_x
_atom_site_fract_y
_atom_site_fract_z
Cs1 Cs 0.032 0.183 0.390
Cs2 Cs 0.217 0.087 0.199
Cs3 Cs 0.443 0.565 0.348
Sn1 Sn 0.402 0.514 0.043
Sb1 Sb 0.190 0.710 0.446


# Cs4SnSb3 (PBE-GGA, optimized geometry)
# calculated density = 4.51 g cm⁻³
data_Cs4SnSb3
_chemical_formula_sum 'Cs16 Sn4 Sb12'
_space_group_name_H-M_alt 'I 4/m c m'
_space_group_IT_number 140
_space_group_name_Hall '-I 4 2c'
_cell_length_a 14.556
_cell_length_b 14.556
_cell_length_c 7.067
_cell_angle_alpha 90.00
_cell_angle_beta 90.00
_cell_angle_gamma 90.00
loop_
_atom_site_label
_atom_site_type_symbol
_atom_site_fract_x
_atom_site_fract_y
_atom_site_fract_z
Cs1 Cs 0.089 0.216 0.000
Sn1 Sn 0.000 0.500 0.250
Sb1 Sb 0.000 0.000 0.250
Sb2 Sb 0.114 0.386 0.500


# CsSnSb2 (PBE-GGA, optimized geometry)
# calculated density = 5.49 g cm⁻³
data_CsSnSb2
_chemical_formula_sum 'Cs3 Sn3 Sb6'
_space_group_name_H-M_alt 'R -3 m'
_space_group_IT_number 166
_space_group_name_Hall '-R 3 2"'
_cell_length_a 4.2159
_cell_length_b 4.2159
_cell_length_c 29.1997
_cell_angle_alpha 90.00
_cell_angle_beta 90.00
_cell_angle_gamma 120.00
loop_
_atom_site_label
_atom_site_type_symbol
_atom_site_fract_x
_atom_site_fract_y
_atom_site_fract_z
Cs1 Cs 0.0000 0.0000 0.0000
Sn1 Sn 0.0000 0.0000 0.5000
Sb1 Sb 0.0000 0.0000 0.2281


# Cs2Sn2Sb (PBE-GGA, optimized geometry)
# calculated density = 4.12 g cm⁻³
# offset from the most stable computed form = 0 meV/atom
data_Cs2Sn2Sb
_chemical_formula_sum 'Cs8 Sn8 Sb4'
_space_group_name_H-M_alt 'C 1 2/m 1'
_space_group_IT_number 12
_space_group_name_Hall '-C 2y'
_cell_length_a 8.823
_cell_length_b 13.499
_cell_length_c 9.260
_cell_angle_alpha 90.00
_cell_angle_beta 114.06
_cell_angle_gamma 90.00
loop_
_atom_site_label
_atom_site_type_symbol
_atom_site_fract_x
_atom_site_fract_y
_atom_site_fract_z
Cs1 Cs 0.235 0.161 0.275
Sn1 Sn 0.138 0.500 0.309
Sn2 Sn 0.204 0.000 0.907
Sb1 Sb 0.000 0.366 0.000


# CsSn6Sb2 (PBE-GGA, optimized geometry)
# calculated density = 6.06 g cm⁻³
data_CsSn6Sb2
_chemical_formula_sum 'Cs1 Sn6 Sb2'
_space_group_name_H-M_alt 'P 4/m m m'
_space_group_IT_number 123
_space_group_name_Hall '-P 4 2'
_cell_length_a 5.399
_cell_length_b 5.399
_cell_length_c 10.242
_cell_angle_alpha 90.00
_cell_angle_beta 90.00
_cell_angle_gamma 90.00
loop_
_atom_site_label
_atom_site_type_symbol
_atom_site_fract_x
_atom_site_fract_y
_atom_site_fract_z
Cs1 Cs 0.000 0.000 0.000
Sn1 Sn 0.000 0.000 0.500
Sn2 Sn 0.000 0.500 0.315
Sn3 Sn 0.500 0.500 0.500
Sb1 Sb 0.500 0.500 0.155


Calculated energy relative to the elements, uncorrected (eV/atom), listed in the same order as above: -0.19, -0.33, -0.36, -0.03, -0.16, -0.04
Calculated Fermi-level density of states (states/eV/f.u.), listed in the same order as above: 1.3, 0.1, 3.7, 2.9, 3.0, 4.3